#i
A geometry-optimized GePt3O structure, computed with PBE-GGA.

Results
M_tot: 0.000 μB/f.u.
Density of states at the Fermi level: 3.42 states/eV/f.u.
Theoretical density: 13.95 g cm⁻³
Symmetry: Pm-3m

Geometry as extended XYZ:
```
5
Lattice="4.3129 0.0000 0.0000 0.0000 4.3129 0.0000 0.0000 0.0000 4.3129" Properties=species:S:1:pos:R:3 pbc="T T T"
Ge 0.0000 0.0000 0.0000
Pt 0.0000 2.1565 2.1565
Pt 2.1565 0.0000 2.1565
Pt 2.1565 2.1565 0.0000
O 2.1565 2.1565 2.1565
```


#ii
A geometry-optimized GePt3O structure, computed with PBE-GGA.

Results
M_tot: 0.000 μB/f.u.
Density of states at the Fermi level: 5.41 states/eV/f.u.
Theoretical density: 11.23 g cm⁻³
Symmetry: Pm-3m

Geometry as extended XYZ:
```
5
Lattice="4.6358 0.0000 0.0000 0.0000 4.6358 0.0000 0.0000 0.0000 4.6358" Properties=species:S:1:pos:R:3 pbc="T T T"
Ge 0.0000 0.0000 0.0000
Pt 0.0000 0.0000 2.3179
Pt 0.0000 2.3179 0.0000
Pt 2.3179 0.0000 0.0000
O 2.3179 2.3179 2.3179
```


Quick one: most stable of them? #i


#i
A geometry-optimized PuGeO structure, computed with PBE-GGA.

Results
M_tot: 4.300 μB/f.u.
Density of states at the Fermi level: 5.25 states/eV/f.u.
Theoretical density: 9.28 g cm⁻³
Symmetry: P-6m2

Geometry as extended XYZ:
```
3
Lattice="3.7453 0.0000 0.0000 -1.8727 3.2435 0.0000 0.0000 0.0000 4.8983" Properties=species:S:1:pos:R:3 pbc="T T T"
Pu 0.0000 0.0000 0.0000
Ge 1.8727 1.0812 2.4492
O 0.0000 2.1624 0.0000
```


#ii
A geometry-optimized PuGeO structure, computed with PBE-GGA.

Results
M_tot: 4.658 μB/f.u.
Density of states at the Fermi level: 4.53 states/eV/f.u.
Theoretical density: 10.26 g cm⁻³
Symmetry: Cmcm

Geometry as extended XYZ:
```
12
Lattice="3.8749 0.0000 0.0000 0.0000 14.0224 0.0000 0.0000 0.0000 3.9624" Properties=species:S:1:pos:R:3 pbc="T T T"
Pu 0.0000 2.3026 0.9906
Pu 0.0000 11.7198 2.9718
Pu 1.9374 4.7086 2.9718
Pu 1.9374 9.3139 0.9906
Ge 0.0000 6.2804 0.9906
Ge 0.0000 7.7420 2.9718
Ge 1.9374 0.7308 2.9718
Ge 1.9374 13.2916 0.9906
O 0.0000 3.5039 2.9718
O 0.0000 10.5186 0.9906
O 1.9374 3.5074 0.9906
O 1.9374 10.5151 2.9718
```


Quick one: most stable of them? #ii


#i
A geometry-optimized Pu3GeO structure, computed with PBE-GGA.

Results
M_tot: 5.883 μB/f.u.
Density of states at the Fermi level: 20.32 states/eV/f.u.
Theoretical density: 13.06 g cm⁻³
Symmetry: C2/c

Geometry as extended XYZ:
```
20
Lattice="5.4987 -3.2317 0.0000 5.4987 3.2317 0.0000 -3.6911 0.0000 11.7446" Properties=species:S:1:pos:R:3 pbc="T T T"
Pu -1.4443 0.4522 9.7763
Pu 1.2008 1.9789 10.7107
Pu 0.4013 -0.4522 3.9040
Pu 4.2600 1.9789 6.9061
Pu 1.6082 0.3836 7.2767
Pu 3.4538 -0.3836 1.4044
Pu 3.8526 0.3836 10.3401
Pu 5.6981 -0.3836 4.4679
Pu 3.0463 -1.9789 4.8384
Pu 6.9051 0.4522 7.8406
Pu 6.1055 -1.9789 1.0338
Pu 8.7506 -0.4522 1.9683
Ge 2.8926 1.1710 4.3862
Ge 6.2593 1.1710 1.4861
Ge 1.0470 -1.1710 10.2585
Ge 4.4138 -1.1710 7.3584
O 2.7494 1.6158 0.0000
O 2.7304 1.8928 8.8084
O 0.9038 -1.6158 5.8723
O 4.5759 -1.8928 2.9361
```


#ii
A geometry-optimized Pu3GeO structure, computed with PBE-GGA.

Results
M_tot: 17.700 μB/f.u.
Density of states at the Fermi level: 22.45 states/eV/f.u.
Theoretical density: 12.43 g cm⁻³
Symmetry: Pm-3m

Geometry as extended XYZ:
```
5
Lattice="4.7856 0.0000 0.0000 0.0000 4.7856 0.0000 0.0000 0.0000 4.7856" Properties=species:S:1:pos:R:3 pbc="T T T"
Pu 0.0000 0.0000 2.3928
Pu 0.0000 2.3928 0.0000
Pu 2.3928 0.0000 0.0000
Ge 2.3928 2.3928 2.3928
O 0.0000 0.0000 0.0000
```


Quick one: most stable of them? #ii


#i
A geometry-optimized RbGe3O structure, computed with PBE-GGA.

Results
M_tot: 0.000 μB/f.u.
Density of states at the Fermi level: 2.42 states/eV/f.u.
Theoretical density: 4.88 g cm⁻³
Symmetry: Pm-3m

Geometry as extended XYZ:
```
5
Lattice="4.7715 0.0000 0.0000 0.0000 4.7715 0.0000 0.0000 0.0000 4.7715" Properties=species:S:1:pos:R:3 pbc="T T T"
Rb 0.0000 0.0000 0.0000
Ge 0.0000 2.3858 2.3858
Ge 2.3858 0.0000 2.3858
Ge 2.3858 2.3858 0.0000
O 2.3858 2.3858 2.3858
```


#ii
A geometry-optimized RbGe3O structure, computed with PBE-GGA.

Results
M_tot: 1.526 μB/f.u.
Density of states at the Fermi level: 11.60 states/eV/f.u.
Theoretical density: 2.68 g cm⁻³
Symmetry: Pm-3m

Geometry as extended XYZ:
```
5
Lattice="5.8310 0.0000 0.0000 0.0000 5.8310 0.0000 0.0000 0.0000 5.8310" Properties=species:S:1:pos:R:3 pbc="T T T"
Rb 0.0000 0.0000 0.0000
Ge 0.0000 0.0000 2.9155
Ge 0.0000 2.9155 0.0000
Ge 2.9155 0.0000 0.0000
O 2.9155 2.9155 2.9155
```


Quick one: most stable of them? #i


#i
A geometry-optimized Rb4GeO4 structure, computed with PBE-GGA.

Results
M_tot: 0.000 μB/f.u.
Theoretical density: 3.88 g cm⁻³
Symmetry: I4/m

Geometry as extended XYZ:
```
9
Lattice="-4.2971 4.2971 2.7761 4.2971 -4.2971 2.7761 4.2971 4.2971 -2.7761" Properties=species:S:1:pos:R:3 pbc="T T T"
Rb 6.0378 0.9990 0.0000
Rb 0.9990 2.5565 0.0000
Rb 3.2981 1.7406 2.7761
Rb -1.7406 3.2981 2.7761
Ge 0.0000 0.0000 2.7761
O 3.7634 2.5091 0.0000
O 1.7880 -0.5337 2.7761
O 2.5091 4.8308 0.0000
O 0.5337 1.7880 2.7761
```


#ii
A geometry-optimized Rb4GeO4 structure, computed with PBE-GGA.

Results
M_tot: 0.000 μB/f.u.
Density of states at the Fermi level: 0.00 states/eV/f.u.
Theoretical density: 4.17 g cm⁻³
Symmetry: P4_2/nmc

Geometry as extended XYZ:
```
18
Lattice="7.8298 0.0000 0.0000 0.0000 7.8298 0.0000 0.0000 0.0000 6.2128" Properties=species:S:1:pos:R:3 pbc="T T T"
Rb 0.2573 1.9575 0.7822
Rb 1.9575 0.2573 3.8886
Rb 1.9575 3.6576 3.8886
Rb 3.6576 1.9575 0.7822
Rb 4.1722 5.8724 5.4307
Rb 5.8724 4.1722 2.3243
Rb 5.8724 7.5725 2.3243
Rb 7.5725 5.8724 5.4307
Ge 1.9575 5.8724 1.5532
Ge 5.8724 1.9575 4.6596
O 0.4875 5.8724 2.6060
O 1.9575 4.4025 0.5004
O 1.9575 7.3423 0.5004
O 3.4274 5.8724 2.6060
O 4.4025 1.9575 3.6068
O 5.8724 0.4875 5.7125
O 5.8724 3.4274 5.7125
O 7.3423 1.9575 3.6068
```


Quick one: most stable of them? #ii


#i
A geometry-optimized Rb3GeO3 structure, computed with PBE-GGA.

Results
M_tot: 0.000 μB/f.u.
Density of states at the Fermi level: 0.75 states/eV/f.u.
Theoretical density: 3.13 g cm⁻³
Symmetry: Cmce

Geometry as extended XYZ:
```
28
Lattice="7.7044 -4.9451 0.0000 7.7044 4.9451 0.0000 0.0000 0.0000 10.5172" Properties=species:S:1:pos:R:3 pbc="T T T"
Rb 2.6841 1.6725 9.2393
Rb 5.0203 1.6725 6.5364
Rb 7.7044 2.8720 8.8572
Rb 7.7044 2.0731 3.5986
Rb 2.6841 -1.6725 1.2778
Rb 5.0203 -1.6725 3.9808
Rb 10.3885 1.6725 6.5364
Rb 12.7247 1.6725 9.2393
Rb 7.7044 -2.0731 6.9186
Rb 7.7044 -2.8720 1.6600
Rb 10.3885 -1.6725 3.9808
Rb 12.7247 -1.6725 1.2778
Ge 1.3861 0.0000 5.2586
Ge 6.3183 0.0000 0.0000
Ge 9.0905 0.0000 0.0000
Ge 14.0228 0.0000 5.2586
O 2.2763 1.2473 6.1114
O 7.7044 4.1473 6.2721
O 5.4281 1.2473 9.6643
O 2.2763 -1.2473 4.4057
O 7.7044 0.7978 1.0135
O 5.4281 -1.2473 0.8529
O 9.9807 1.2473 9.6643
O 7.7044 -0.7978 9.5037
O 13.1325 1.2473 6.1114
O 9.9807 -1.2473 0.8529
O 7.7044 -4.1473 4.2451
O 13.1325 -1.2473 4.4057
```


#ii
A geometry-optimized Rb3GeO3 structure, computed with PBE-GGA.

Results
M_tot: 0.000 μB/f.u.
Density of states at the Fermi level: 1.13 states/eV/f.u.
Theoretical density: 3.32 g cm⁻³
Symmetry: Cmcm

Geometry as extended XYZ:
```
14
Lattice="4.3023 -7.4445 0.0000 4.3023 7.4445 0.0000 0.0000 0.0000 5.8910" Properties=species:S:1:pos:R:3 pbc="T T T"
Rb 4.3023 4.8658 4.4182
Rb 2.2413 1.2895 4.4182
Rb 2.2413 -1.2895 1.4727
Rb 6.3634 1.2895 4.4182
Rb 6.3634 -1.2895 1.4727
Rb 4.3023 -4.8658 1.4727
Ge 4.3023 2.4837 1.4727
Ge 4.3023 -2.4837 4.4182
O 4.3023 4.2432 1.4727
O 2.7801 1.6016 1.4727
O 2.7801 -1.6016 4.4182
O 5.8245 1.6016 1.4727
O 5.8245 -1.6016 4.4182
O 4.3023 -4.2432 4.4182
```


Quick one: most stable of them? #i